# CdTeRhO6

Crystalline CdTeRhO6 at its relaxed geometry (PBE, the Alexandria database).

Values from the calculation:
- calculated density (g/cm³) = 6.237
- energy relative to the elements, uncorrected (eV/atom) = -0.934
- total magnetization (μB/f.u.) = 1.05
- V (Å³ per atom) = 13.0

POSCAR file:
```
CdTeRhO6
1.0
5.257 0.000 0.000
-2.629 4.553 0.000
0.000 0.000 9.764
Cd Te Rh O
2 2 2 12
direct
0.000 0.000 0.000 Cd
0.000 0.000 0.500 Cd
0.333 0.667 0.250 Te
0.667 0.333 0.750 Te
0.333 0.667 0.750 Rh
0.667 0.333 0.250 Rh
0.005 0.368 0.139 O
0.005 0.637 0.361 O
0.363 0.368 0.361 O
0.363 0.995 0.139 O
0.368 0.005 0.639 O
0.368 0.363 0.861 O
0.632 0.637 0.139 O
0.632 0.995 0.361 O
0.637 0.005 0.861 O
0.637 0.632 0.639 O
0.995 0.363 0.639 O
0.995 0.632 0.861 O
```